#1
A plane-wave DFT calculation with PBE was carried out for TaTe3Se after structural relaxation.

Results
SG	Pm-3m

```
TaTe3Se
1.0
5.350 0.000 0.000
0.000 5.350 0.000
0.000 0.000 5.350
Ta Te Se
1 3 1
Direct
0.000 0.000 0.000 Ta
0.000 0.000 0.500 Te
0.000 0.500 0.000 Te
0.500 0.000 0.000 Te
0.500 0.500 0.500 Se
```

#2
A plane-wave DFT calculation with PBE was carried out for TaTe3Se after structural relaxation.

Results
SG	Pm-3m

```
TaTe3Se
1.0
5.316 0.000 0.000
0.000 5.316 0.000
0.000 0.000 5.316
Ta Te Se
1 3 1
Direct
0.000 0.000 0.000 Ta
0.000 0.500 0.500 Te
0.500 0.000 0.500 Te
0.500 0.500 0.000 Te
0.500 0.500 0.500 Se
```

Last place for stability: #2

#1
A plane-wave DFT calculation with PBE was carried out for TaTi3Se after structural relaxation.

Results
SG	Pm-3m

```
TaTi3Se
1.0
4.610 0.000 0.000
0.000 4.610 0.000
0.000 0.000 4.610
Ta Ti Se
1 3 1
Direct
0.000 0.000 0.000 Ta
0.000 0.500 0.500 Ti
0.500 0.000 0.500 Ti
0.500 0.500 0.000 Ti
0.500 0.500 0.500 Se
```

#2
A plane-wave DFT calculation with PBE was carried out for TaTi3Se after structural relaxation.

Results
SG	C2/m

```
TaTi3Se
1.0
5.074 -2.427 0.000
5.074 2.427 0.000
-2.903 0.000 7.457
Ta Ti Se
2 6 2
Direct
0.122 0.122 0.454 Ta
0.878 0.878 0.546 Ta
0.085 0.085 0.874 Ti
0.365 0.365 0.368 Ti
0.374 0.374 0.740 Ti
0.626 0.626 0.260 Ti
0.635 0.635 0.632 Ti
0.915 0.915 0.126 Ti
0.358 0.358 0.052 Se
0.642 0.642 0.948 Se
```

Last place for stability: #1

#1
A plane-wave DFT calculation with PBE was carried out for Ta2TlSe4 after structural relaxation.

Results
SG	P1

```
Ta2TlSe4
1.0
7.724 0.000 0.000
3.859 6.693 0.000
3.858 2.225 6.587
Ta Tl Se
4 2 8
Direct
0.000 0.000 0.000 Ta
0.000 0.386 0.000 Ta
0.386 0.000 0.000 Ta
0.928 0.928 0.603 Ta
0.420 0.420 0.128 Tl
0.612 0.611 0.549 Tl
0.169 0.169 0.291 Se
0.169 0.758 0.291 Se
0.186 0.700 0.800 Se
0.226 0.226 0.707 Se
0.700 0.185 0.800 Se
0.700 0.700 0.799 Se
0.745 0.746 0.150 Se
0.758 0.169 0.291 Se
```

#2
A plane-wave DFT calculation with PBE was carried out for Ta2TlSe4 after structural relaxation.

Results
SG	C2/m

```
Ta2TlSe4
1.0
16.909 0.000 0.000
0.000 3.529 0.000
-1.804 0.000 6.022
Ta Tl Se
4 2 8
Direct
0.248 0.000 0.196 Ta
0.252 0.500 0.804 Ta
0.748 0.500 0.196 Ta
0.752 0.000 0.804 Ta
0.000 0.500 0.500 Tl
0.500 0.000 0.500 Tl
0.137 0.500 0.002 Se
0.165 0.000 0.514 Se
0.335 0.500 0.486 Se
0.363 0.000 0.998 Se
0.637 0.000 0.002 Se
0.665 0.500 0.514 Se
0.835 0.000 0.486 Se
0.863 0.500 0.998 Se
```

Last place for stability: #1

#1
A plane-wave DFT calculation with PBE was carried out for TaTl2Se2 after structural relaxation.

Results
SG	I4/mmm

```
TaTl2Se2
1.0
3.625 0.000 0.000
0.000 3.625 0.000
0.000 0.000 19.881
Ta Tl Se
2 4 4
Direct
0.000 0.000 0.000 Ta
0.500 0.500 0.500 Ta
0.000 0.000 0.416 Tl
0.000 0.000 0.584 Tl
0.500 0.500 0.084 Tl
0.500 0.500 0.916 Tl
0.000 0.500 0.250 Se
0.000 0.500 0.750 Se
0.500 0.000 0.250 Se
0.500 0.000 0.750 Se
```

#2
A plane-wave DFT calculation with PBE was carried out for TaTl2Se2 after structural relaxation.

Results
SG	P4/mbm

```
TaTl2Se2
1.0
7.752 0.000 0.000
0.000 7.752 0.000
0.000 0.000 4.062
Ta Tl Se
2 4 4
Direct
0.000 0.000 0.000 Ta
0.500 0.500 0.000 Ta
0.138 0.362 0.000 Tl
0.362 0.862 0.000 Tl
0.638 0.138 0.000 Tl
0.862 0.638 0.000 Tl
0.178 0.678 0.500 Se
0.322 0.178 0.500 Se
0.678 0.822 0.500 Se
0.822 0.322 0.500 Se
```

Last place for stability: #2

#1
A plane-wave DFT calculation with PBE was carried out for UTaSe4 after structural relaxation.

Results
SG	C2/c

```
UTaSe4
1.0
3.795 -8.096 0.000
3.795 8.096 0.000
-3.746 0.000 5.444
U Ta Se
2 2 8
Direct
0.063 0.937 0.750 U
0.937 0.063 0.250 U
0.436 0.564 0.250 Ta
0.564 0.436 0.750 Ta
0.093 0.441 0.248 Se
0.208 0.336 0.765 Se
0.336 0.208 0.265 Se
0.441 0.093 0.748 Se
0.559 0.907 0.252 Se
0.664 0.792 0.735 Se
0.792 0.664 0.235 Se
0.907 0.559 0.752 Se
```

#2
A plane-wave DFT calculation with PBE was carried out for UTaSe4 after structural relaxation.

Results
SG	C2/c

```
UTaSe4
1.0
4.207 -5.196 0.000
4.207 5.196 0.000
-0.290 0.000 6.543
U Ta Se
2 2 8
Direct
0.005 0.995 0.750 U
0.995 0.005 0.250 U
0.394 0.606 0.750 Ta
0.606 0.394 0.250 Ta
0.150 0.710 0.496 Se
0.249 0.355 0.051 Se
0.290 0.850 0.004 Se
0.355 0.249 0.551 Se
0.645 0.751 0.449 Se
0.710 0.150 0.996 Se
0.751 0.645 0.949 Se
0.850 0.290 0.504 Se
```

Last place for stability: #2

#1
A plane-wave DFT calculation with PBE was carried out for TaVSe2 after structural relaxation.

Results
SG	Fm-3m

```
TaVSe2
1.0
6.389 0.000 0.000
0.000 6.389 0.000
0.000 0.000 6.389
Ta V Se
4 4 8
Direct
0.000 0.000 0.000 Ta
0.000 0.500 0.500 Ta
0.500 0.000 0.500 Ta
0.500 0.500 0.000 Ta
0.000 0.000 0.500 V
0.000 0.500 0.000 V
0.500 0.000 0.000 V
0.500 0.500 0.500 V
0.250 0.250 0.250 Se
0.250 0.250 0.750 Se
0.250 0.750 0.250 Se
0.250 0.750 0.750 Se
0.750 0.250 0.250 Se
0.750 0.250 0.750 Se
0.750 0.750 0.250 Se
0.750 0.750 0.750 Se
```

#2
A plane-wave DFT calculation with PBE was carried out for TaVSe2 after structural relaxation.

Results
SG	P3m1

```
TaVSe2
1.0
3.246 0.000 0.000
-1.623 2.811 0.000
0.000 0.000 8.445
Ta V Se
1 1 2
Direct
0.000 0.000 0.000 Ta
0.667 0.333 0.495 V
0.000 0.000 0.311 Se
0.667 0.333 0.792 Se
```

#3
A plane-wave DFT calculation with PBE was carried out for TaVSe2 after structural relaxation.

Results
SG	I-42d

```
TaVSe2
1.0
5.855 0.000 0.000
0.000 5.855 0.000
0.000 0.000 11.216
Ta V Se
4 4 8
Direct
0.000 0.000 0.000 Ta
0.000 0.500 0.250 Ta
0.500 0.000 0.750 Ta
0.500 0.500 0.500 Ta
0.000 0.000 0.500 V
0.000 0.500 0.750 V
0.500 0.000 0.250 V
0.500 0.500 0.000 V
0.243 0.250 0.625 Se
0.250 0.743 0.875 Se
0.250 0.757 0.375 Se
0.257 0.250 0.125 Se
0.743 0.750 0.125 Se
0.750 0.243 0.375 Se
0.750 0.257 0.875 Se
0.757 0.750 0.625 Se
```

Last place for stability: #3

#1
A plane-wave DFT calculation with PBE was carried out for TaVSe3 after structural relaxation.

Results
SG	Pm-3m

```
TaVSe3
1.0
4.786 0.000 0.000
0.000 4.786 0.000
0.000 0.000 4.786
Ta V Se
1 1 3
Direct
0.000 0.000 0.000 Ta
0.500 0.500 0.500 V
0.000 0.500 0.500 Se
0.500 0.000 0.500 Se
0.500 0.500 0.000 Se
```

#2
A plane-wave DFT calculation with PBE was carried out for TaVSe3 after structural relaxation.

Results
SG	Pm-3m

```
TaVSe3
1.0
5.020 0.000 0.000
0.000 5.020 0.000
0.000 0.000 5.020
Ta V Se
1 1 3
Direct
0.000 0.000 0.000 Ta
0.500 0.500 0.500 V
0.000 0.000 0.500 Se
0.000 0.500 0.000 Se
0.500 0.000 0.000 Se
```

Last place for stability: #1

#1
A plane-wave DFT calculation with PBE was carried out for Ta3VSe6 after structural relaxation.

Results
SG	P6_322

```
Ta3VSe6
1.0
6.030 0.000 0.000
-3.015 5.222 0.000
0.000 0.000 12.887
Ta V Se
6 2 12
Direct
0.000 0.000 0.000 Ta
0.000 0.000 0.500 Ta
0.333 0.667 0.000 Ta
0.333 0.667 0.500 Ta
0.667 0.333 0.000 Ta
0.667 0.333 0.500 Ta
0.333 0.667 0.250 V
0.667 0.333 0.750 V
0.004 0.333 0.870 Se
0.004 0.670 0.630 Se
0.330 0.333 0.630 Se
0.330 0.996 0.870 Se
0.333 0.004 0.130 Se
0.333 0.330 0.370 Se
0.667 0.670 0.870 Se
0.667 0.996 0.630 Se
0.670 0.004 0.370 Se
0.670 0.667 0.130 Se
0.996 0.330 0.130 Se
0.996 0.667 0.370 Se
```

#2
A plane-wave DFT calculation with PBE was carried out for Ta3VSe6 after structural relaxation.

Results
SG	Cmc2_1

```
Ta3VSe6
1.0
5.214 -6.534 0.000
5.214 6.534 0.000
0.000 0.000 6.286
Ta V Se
6 2 12
Direct
0.098 0.902 0.500 Ta
0.229 0.500 0.527 Ta
0.500 0.229 0.027 Ta
0.500 0.771 0.527 Ta
0.771 0.500 0.027 Ta
0.902 0.098 0.000 Ta
0.272 0.728 0.828 V
0.728 0.272 0.328 V
0.002 0.382 0.189 Se
0.101 0.201 0.665 Se
0.201 0.101 0.165 Se
0.270 0.730 0.246 Se
0.382 0.002 0.689 Se
0.460 0.540 0.816 Se
0.540 0.460 0.316 Se
0.618 0.998 0.189 Se
0.730 0.270 0.746 Se
0.799 0.899 0.665 Se
0.899 0.799 0.165 Se
0.998 0.618 0.689 Se
```

Last place for stability: #2

#1
A plane-wave DFT calculation with PBE was carried out for TaV2Se6 after structural relaxation.

Results
SG	C2/m

```
TaV2Se6
1.0
8.510 -1.708 0.000
8.510 1.708 0.000
-3.377 0.000 7.240
Ta V Se
1 2 6
Direct
0.000 0.000 0.000 Ta
0.326 0.326 0.655 V
0.674 0.674 0.345 V
0.166 0.166 0.105 Se
0.170 0.170 0.571 Se
0.492 0.492 0.750 Se
0.508 0.508 0.250 Se
0.830 0.830 0.429 Se
0.834 0.834 0.895 Se
```

#2
A plane-wave DFT calculation with PBE was carried out for TaV2Se6 after structural relaxation.

Results
SG	C2/m

```
TaV2Se6
1.0
6.115 -1.825 0.000
6.115 1.825 0.000
-0.567 0.000 9.219
Ta V Se
1 2 6
Direct
0.000 0.000 0.000 Ta
0.257 0.257 0.631 V
0.743 0.743 0.369 V
0.104 0.104 0.772 Se
0.125 0.125 0.418 Se
0.370 0.370 0.888 Se
0.630 0.630 0.112 Se
0.875 0.875 0.582 Se
0.896 0.896 0.228 Se
```

Last place for stability: #2

#1
A plane-wave DFT calculation with PBE was carried out for TaV4Se8 after structural relaxation.

Results
SG	R-3m

```
TaV4Se8
1.0
3.642 2.103 5.874
-3.642 2.103 5.874
0.000 -4.206 5.874
Ta V Se
1 4 8
Direct
0.000 0.000 0.000 Ta
0.000 0.000 0.500 V
0.000 0.500 0.000 V
0.500 0.000 0.000 V
0.500 0.500 0.500 V
0.247 0.247 0.247 Se
0.252 0.252 0.744 Se
0.252 0.744 0.252 Se
0.256 0.748 0.748 Se
0.744 0.252 0.252 Se
0.748 0.256 0.748 Se
0.748 0.748 0.256 Se
0.753 0.753 0.753 Se
```

#2
A plane-wave DFT calculation with PBE was carried out for TaV4Se8 after structural relaxation.

Results
SG	F-43m

```
TaV4Se8
1.0
0.000 5.166 5.166
5.166 0.000 5.166
5.166 5.166 0.000
Ta V Se
1 4 8
Direct
0.000 0.000 0.000 Ta
0.208 0.597 0.597 V
0.597 0.208 0.597 V
0.597 0.597 0.208 V
0.597 0.597 0.597 V
0.369 0.369 0.369 Se
0.369 0.369 0.894 Se
0.369 0.894 0.369 Se
0.410 0.863 0.863 Se
0.863 0.410 0.863 Se
0.863 0.863 0.410 Se
0.863 0.863 0.863 Se
0.894 0.369 0.369 Se
```

Last place for stability: #1

#1
A plane-wave DFT calculation with PBE was carried out for TaV3Se after structural relaxation.

Results
SG	Pm-3m

```
TaV3Se
1.0
4.426 0.000 0.000
0.000 4.426 0.000
0.000 0.000 4.426
Ta V Se
1 3 1
Direct
0.000 0.000 0.000 Ta
0.000 0.500 0.500 V
0.500 0.000 0.500 V
0.500 0.500 0.000 V
0.500 0.500 0.500 Se
```

#2
A plane-wave DFT calculation with PBE was carried out for TaV3Se after structural relaxation.

Results
SG	Pm-3m

```
TaV3Se
1.0
4.662 0.000 0.000
0.000 4.662 0.000
0.000 0.000 4.662
Ta V Se
1 3 1
Direct
0.000 0.000 0.000 Ta
0.000 0.000 0.500 V
0.000 0.500 0.000 V
0.500 0.000 0.000 V
0.500 0.500 0.500 Se
```

Last place for stability: #2